[1]
A crystal of InNiAsSe2 relaxed with PBEsol. Source: Alexandria, functional SCAN.

abc: 5.073 5.151 5.151
angles: 90.00 90.00 90.00
Each line ends with the local moment (μB).
Atoms (fractional coordinates):
Se (0.000, 0.500, 0.000)  0.21
Se (0.000, 0.000, 0.500)  0.21
Ni (0.500, 0.500, 0.500)  1.18
In (0.000, 0.000, 0.000)  0.00
As (0.500, 0.000, 0.000)  0.44

Summary:
The formation energy without anion corrections comes out at 1155 meV per atom. The size of the total moment comes out at 2.72 Bohr magnetons per cell. The total energy comes out at -20.83 eV/atom.


[2]
A crystal of Ba2BC relaxed with PBEsol. Source: Alexandria, functional SCAN.

abc: 5.058 5.058 5.058
angles: 60.00 60.00 60.00
Each line ends with the local moment (μB).
Atoms (fractional coordinates):
Ba (0.250, 0.250, 0.250)  0.10
Ba (0.750, 0.750, 0.750)  0.10
C (0.500, 0.500, 0.500)  -0.48
B (0.000, 0.000, 0.000)  0.62

Summary:
The energy relative to the elements comes out at 1.218 eV per atom. The size of the total moment comes out at 0.86 Bohr magnetons per cell. The total energy comes out at -22.94 eV/atom.


[3]
A crystal of Ta2W relaxed with PBEsol. Source: Alexandria, functional SCAN.

abc: 3.227 4.597 7.010
angles: 90.00 103.31 90.00
Atoms (fractional coordinates):
Ta (0.245, 0.250, 0.490)
Ta (0.920, 0.250, 0.839)
Ta (0.755, 0.750, 0.510)
Ta (0.080, 0.750, 0.161)
W (0.416, 0.750, 0.832)
W (0.584, 0.250, 0.168)

Summary:
The calculation puts the offset from the most stable computed form at 0.000 eV per atom. The energy relative to the elements comes out at -0.086 eV per atom. The size of the total moment comes out at 0.00 Bohr magnetons per cell. The total energy comes out at -67.70 eV/atom.


[4]
A crystal of TiGeTe2I relaxed with PBEsol. Source: Alexandria, functional SCAN.

abc: 5.338 5.338 5.362
angles: 90.00 90.00 90.00
Each line ends with the local moment (μB).
Atoms (fractional coordinates):
Ge (0.000, 0.000, 0.000)  0.00
Ti (0.500, 0.500, 0.500)  1.87
I (0.000, 0.000, 0.500)  -0.02
Te (0.500, 0.000, 0.000)  -0.07
Te (0.000, 0.500, 0.000)  -0.07

Summary:
The calculation puts the offset from the most stable computed form at 0.259 eV per atom. The formation energy without anion corrections comes out at 456 meV per atom. The size of the total moment comes out at 1.99 Bohr magnetons per cell. The total energy comes out at -28.82 eV/atom.


[5]
A crystal of TaAs2Cl relaxed with PBEsol. Source: Alexandria, functional SCAN.

abc: 2.831 4.953 4.953
angles: 90.00 90.00 90.00
Atoms (fractional coordinates):
As (0.000, 0.000, 0.500)
As (0.000, 0.500, 0.000)
Cl (0.500, 0.500, 0.500)
Ta (0.500, 0.000, 0.000)

Summary:
The calculation puts the offset from the most stable computed form at 0.234 eV per atom. The formation energy without anion corrections comes out at 462 meV per atom. The size of the total moment comes out at 0.00 Bohr magnetons per cell. The total energy comes out at -28.27 eV/atom.


[6]
A crystal of Ni6HgSb relaxed with PBEsol. Source: Alexandria, functional SCAN.

abc: 6.373 6.373 10.412
angles: 90.00 90.00 109.17
Each line ends with the local moment (μB).
Atoms (fractional coordinates):
Ni (0.371, 0.121, 0.872)  0.43
Ni (0.879, 0.629, 0.128)  0.43
Ni (0.500, 0.500, 0.000)  0.56
Ni (0.249, 0.751, 0.254)  0.27
Ni (0.371, 0.122, 0.377)  0.15
Ni (0.629, 0.879, 0.128)  0.43
Ni (0.122, 0.371, 0.377)  0.15
Ni (0.371, 0.122, 0.623)  0.15
Ni (0.751, 0.249, 0.254)  0.27
Ni (0.629, 0.878, 0.377)  0.15
Ni (0.878, 0.629, 0.623)  0.15
Ni (0.371, 0.121, 0.128)  0.43
Ni (0.751, 0.249, 0.746)  0.27
Ni (0.122, 0.371, 0.623)  0.15
Ni (0.121, 0.371, 0.872)  0.43
Ni (0.629, 0.879, 0.872)  0.43
Ni (0.879, 0.629, 0.872)  0.43
Ni (0.249, 0.751, 0.746)  0.27
Ni (0.629, 0.878, 0.623)  0.15
Ni (0.121, 0.371, 0.128)  0.43
Ni (0.000, 0.000, 0.500)  0.09
Ni (0.878, 0.629, 0.377)  0.15
Ni (0.500, 0.500, 0.500)  0.13
Ni (0.000, 0.000, 0.000)  0.43
Hg (0.253, 0.747, 0.000)  -0.04
Hg (0.500, 0.500, 0.751)  -0.03
Hg (0.747, 0.253, 0.000)  -0.04
Hg (0.500, 0.500, 0.249)  -0.03
Sb (0.748, 0.252, 0.500)  -0.01
Sb (0.000, 0.000, 0.247)  -0.01
Sb (0.252, 0.748, 0.500)  -0.01
Sb (0.000, 0.000, 0.753)  -0.01

Summary:
The formation energy without anion corrections comes out at 71 meV per atom. The size of the total moment comes out at 5.73 Bohr magnetons per cell. The total energy comes out at -25.24 eV/atom.


[7]
A crystal of YZrP2S relaxed with PBEsol. Source: Alexandria, functional SCAN.

abc: 4.906 5.005 5.005
angles: 90.00 90.00 90.00
Each line ends with the local moment (μB).
Atoms (fractional coordinates):
Zr (0.500, 0.500, 0.500)  -0.66
P (0.000, 0.500, 0.000)  0.10
P (0.000, 0.000, 0.500)  0.10
S (0.500, 0.000, 0.000)  0.07
Y (0.000, 0.000, 0.000)  0.02

Summary:
The formation energy without anion corrections comes out at 182 meV per atom. The size of the total moment comes out at 0.41 Bohr magnetons per cell. The total energy comes out at -17.61 eV/atom.


[8]
A crystal of Ag2RuBr relaxed with PBEsol. Source: Alexandria, functional SCAN.

abc: 3.036 4.524 4.873
angles: 90.00 90.00 90.00
Each line ends with the local moment (μB).
Atoms (fractional coordinates):
Ru (0.000, 0.500, 0.500)  1.16
Br (0.500, 0.000, 0.500)  0.00
Ag (0.500, 0.500, 0.000)  0.00
Ag (0.000, 0.000, 0.000)  -0.02

Summary:
The calculation puts the offset from the most stable computed form at 0.222 eV per atom. The formation energy without anion corrections comes out at 720 meV per atom. The size of the total moment comes out at 1.18 Bohr magnetons per cell. The total energy comes out at -28.53 eV/atom.


[9]
A crystal of AlIn2Mo relaxed with PBEsol. Source: Alexandria, functional SCAN.

abc: 2.915 2.915 8.928
angles: 90.00 90.00 90.07
Atoms (fractional coordinates):
In (0.000, 0.000, 0.736)
In (0.000, 0.000, 0.264)
Mo (0.500, 0.500, 0.500)
Al (0.500, 0.500, 0.000)

Summary:
The energy relative to the elements comes out at 0.346 eV per atom. The size of the total moment comes out at 0.00 Bohr magnetons per cell. The total energy comes out at -27.01 eV/atom.


[10]
A crystal of Sm3Er relaxed with PBEsol. Source: Alexandria, functional SCAN.

abc: 4.970 4.970 4.970
angles: 90.00 90.00 90.00
Atoms (fractional coordinates):
Er (0.000, 0.000, 0.000)
Sm (0.500, 0.500, 0.000)
Sm (0.000, 0.500, 0.500)
Sm (0.500, 0.000, 0.500)

Summary:
The calculation puts the offset from the most stable computed form at 0.000 eV per atom. The energy relative to the elements comes out at 0.014 eV per atom. The size of the total moment comes out at 0.00 Bohr magnetons per cell. The total energy comes out at -45.90 eV/atom.


[11]
A crystal of Tl2Cd relaxed with PBEsol. Source: Alexandria, functional SCAN.

abc: 3.435 3.435 7.642
angles: 90.00 90.00 120.00
Atoms (fractional coordinates):
Tl (0.667, 0.333, 0.678)
Tl (0.333, 0.667, 0.322)
Cd (0.000, 0.000, 0.000)

Summary:
The calculation puts the offset from the most stable computed form at 0.030 eV per atom. The energy relative to the elements comes out at 0.065 eV per atom. The size of the total moment comes out at 0.00 Bohr magnetons per cell. The total energy comes out at -58.31 eV/atom.


[12]
A crystal of ZnP relaxed with PBEsol. Source: Alexandria, functional SCAN.

abc: 3.998 3.998 6.005
angles: 70.56 70.56 60.00
Atoms (fractional coordinates):
Zn (0.419, 0.419, 0.742)
Zn (0.581, 0.581, 0.258)
P (0.932, 0.932, 0.203)
P (0.068, 0.068, 0.797)

Summary:
The energy relative to the elements comes out at -0.109 eV per atom. The size of the total moment comes out at 0.00 Bohr magnetons per cell. The total energy comes out at -12.07 eV/atom.